# PBE+U MnCo3P4O16, optimized geometry
data_MnCo3P4O16
_cell_length_a 4.844
_cell_length_b 5.884
_cell_length_c 9.875
_cell_angle_alpha 90.00
_cell_angle_beta 91.06
_cell_angle_gamma 90.00
_symmetry_space_group_name_H-M 'P 1 m 1'
_symmetry_Int_Tables_number 6
loop_
_symmetry_equiv_pos_as_xyz
'x,y,z'
'x,-y,z'
loop_
_atom_site_label
_atom_site_type_symbol
_atom_site_fract_x
_atom_site_fract_y
_atom_site_fract_z
_atom_site_occupancy
Mn1 Mn 0.000 0.000 0.000 1
Co1 Co 0.388 0.000 0.513 1
Co2 Co 0.497 0.500 0.065 1
Co3 Co 0.898 0.500 0.555 1
P1 P 0.027 0.500 0.879 1
P2 P 0.337 0.500 0.381 1
P3 P 0.526 0.000 0.187 1
P4 P 0.828 0.000 0.688 1
O1 O 0.078 0.500 0.724 1
O2 O 0.136 0.000 0.664 1
O3 O 0.183 0.297 0.949 1
O4 O 0.193 0.294 0.454 1
O5 O 0.210 0.000 0.163 1
O6 O 0.276 0.500 0.229 1
O7 O 0.581 0.000 0.339 1
O8 O 0.652 0.500 0.409 1
O9 O 0.669 0.206 0.114 1
O10 O 0.672 0.203 0.618 1
O11 O 0.717 0.500 0.902 1
O12 O 0.772 0.000 0.842 1
# * total energy: -6.87 eV/atom
# * crystal system: monoclinic